1.
Al2Si4Ni after structural relaxation. Source: Alexandria via LeMat-Bulk, functional PBE-GGA.

Computed properties:
- space group = P6_3mc, No. 186
- E_form (uncorrected) (eV per atom) = 0.27
- DOS(E_F) (states/eV/atom) = 0.4392
- mass density (Mg/m³) = 2.9
- spin magnetization (μB per formula unit) = 0.00

Lattice parameters (Å, degrees): 3.649 3.649 22.716 90.00 90.00 120.00
Fractional positions:
Si 0.667 0.333 0.955
Si 0.667 0.333 0.189
Si 0.000 0.000 0.522
Si 0.000 0.000 0.022
Si 0.000 0.000 0.825
Si 0.333 0.667 0.455
Si 0.333 0.667 0.689
Si 0.000 0.000 0.325
Al 0.667 0.333 0.082
Al 0.333 0.667 0.582
Al 0.667 0.333 0.755
Al 0.333 0.667 0.255
Ni 0.000 0.000 0.422
Ni 0.000 0.000 0.922


2.
HfSnP2Cl after structural relaxation. Source: Alexandria via LeMat-Bulk, functional PBE-GGA.

Computed properties:
- space group = P4/mmm, No. 123
- E_form (uncorrected) (eV per atom) = 0.70
- DOS(E_F) (states/eV/atom) = 0.5925
- mass density (Mg/m³) = 5.4
- spin magnetization (μB per formula unit) = 0.00

Lattice parameters (Å, degrees): 5.007 5.007 4.817 90.00 90.00 90.00
Fractional positions:
P 0.500 0.000 0.000
P 0.000 0.500 0.000
Hf 0.500 0.500 0.500
Sn 0.000 0.000 0.000
Cl 0.000 0.000 0.500


3.
LiAcY after structural relaxation. Source: Alexandria via LeMat-Bulk, functional PBE-GGA.

Computed properties:
- space group = P3m1, No. 156
- DOS(E_F) (states/eV/atom) = 1.3884
- mass density (Mg/m³) = 5.2
- spin magnetization (μB per formula unit) = 0.00
- final energy (eV per atom) = -4.01

Lattice parameters (Å, degrees): 3.727 3.727 8.532 90.00 90.00 120.00
Fractional positions:
Ac 0.667 0.333 0.329
Li 0.000 0.000 0.990
Y 0.333 0.667 0.681


4.
Y4MgCo after structural relaxation. Source: Alexandria via LeMat-Bulk, functional PBE-GGA.

Computed properties:
- space group = C2/c, No. 15
- DOS(E_F) (states/eV/atom) = 1.2825
- mass density (Mg/m³) = 4.4
- spin magnetization (μB per formula unit) = 0.00
- final energy (eV per atom) = -5.84

Lattice parameters (Å, degrees): 9.266 6.068 7.738 99.67 116.87 111.97
Fractional positions:
Co 0.999 0.249 0.498
Co 0.001 0.751 0.502
Y 0.368 0.754 0.675
Y 0.193 0.079 0.325
Y 0.734 0.779 0.175
Y 0.059 0.604 0.825
Y 0.266 0.221 0.825
Y 0.632 0.246 0.325
Y 0.807 0.921 0.675
Y 0.941 0.396 0.175
Mg 0.378 0.628 0.256
Mg 0.622 0.372 0.744


5.
KZn2Cu after structural relaxation. Source: Alexandria via LeMat-Bulk, functional PBE-GGA.

Computed properties:
- space group = P4mm, No. 99
- DOS(E_F) (states/eV/atom) = 0.1191
- mass density (Mg/m³) = 4.5
- spin magnetization (μB per formula unit) = 0.00
- final energy (eV per atom) = -1.74

Lattice parameters (Å, degrees): 3.319 3.319 7.866 90.00 90.00 90.00
Fractional positions:
Zn 0.000 0.000 0.071
Zn 0.500 0.500 0.292
Cu 0.000 0.000 0.399
K 0.500 0.500 0.738


6.
HgHS2 after structural relaxation. Source: Alexandria via LeMat-Bulk, functional PBE-GGA.

Computed properties:
- space group = P1, No. 1
- DOS(E_F) (states/eV/atom) = 0.0000
- mass density (Mg/m³) = 3.9
- spin magnetization (μB per formula unit) = 0.00
- final energy (eV per atom) = -2.98

Lattice parameters (Å, degrees): 4.509 9.735 5.766 76.62 95.16 69.60
Fractional positions:
S 0.815 0.935 0.026
S 0.092 0.319 0.570
S 0.947 0.519 0.291
S 0.537 0.044 0.244
H 0.022 0.808 0.199
H 0.692 0.605 0.374
Hg 0.335 0.722 0.705
Hg 0.817 0.178 0.413


7.
Sc2TcH8 after structural relaxation. Source: Alexandria via LeMat-Bulk, functional PBE-GGA.

Computed properties:
- space group = C2/m, No. 12
- DOS(E_F) (states/eV/atom) = 0.1910
- mass density (Mg/m³) = 4.0
- spin magnetization (μB per formula unit) = 0.00
- final energy (eV per atom) = -4.89

Lattice parameters (Å, degrees): 3.184 4.088 6.717 107.55 103.71 90.00
Fractional positions:
H 0.382 0.112 0.763
H 0.382 0.653 0.763
H 0.241 0.242 0.482
H 0.000 0.759 0.000
H 0.000 0.241 0.000
H 0.618 0.347 0.237
H 0.759 0.758 0.518
H 0.618 0.888 0.237
Sc 0.852 0.353 0.703
Sc 0.148 0.647 0.297
Tc 0.500 0.000 0.000


8.
Li4La5Ga4 after structural relaxation. Source: Alexandria via LeMat-Bulk, functional PBE-GGA.

Computed properties:
- space group = I4/m, No. 87
- DOS(E_F) (states/eV/atom) = 0.5996
- mass density (Mg/m³) = 5.0
- spin magnetization (μB per formula unit) = 0.00
- final energy (eV per atom) = -3.77

Lattice parameters (Å, degrees): 4.611 8.764 8.764 86.03 74.75 74.75
Fractional positions:
La 0.285 0.080 0.349
La 0.366 0.349 0.920
La 0.634 0.651 0.080
La 0.000 0.000 0.000
La 0.715 0.920 0.651
Li 0.100 0.467 0.333
Li 0.567 0.333 0.533
Li 0.433 0.667 0.467
Li 0.900 0.533 0.667
Ga 0.742 0.308 0.209
Ga 0.050 0.209 0.692
Ga 0.950 0.791 0.308
Ga 0.258 0.692 0.791


9.
Pr6Nd3Sm after structural relaxation. Source: Alexandria via LeMat-Bulk, functional PBE-GGA.

Computed properties:
- space group = C2/m, No. 12
- DOS(E_F) (states/eV/atom) = 1.8154
- mass density (Mg/m³) = 6.6
- spin magnetization (μB per formula unit) = 0.00
- final energy (eV per atom) = -4.57

Lattice parameters (Å, degrees): 7.045 9.205 6.782 103.83 121.29 90.00
Fractional positions:
Pr 0.576 0.700 0.626
Pr 0.374 0.081 0.748
Pr 0.050 0.700 0.626
Pr 0.626 0.919 0.252
Pr 0.950 0.300 0.374
Pr 0.424 0.300 0.374
Nd 0.079 0.667 0.159
Nd 0.921 0.333 0.841
Nd 0.000 0.000 0.000
Sm 0.500 0.500 0.000


10.
In2Sn4Hg after structural relaxation. Source: Alexandria via LeMat-Bulk, functional PBE-GGA.

Computed properties:
- space group = Imm2, No. 44
- DOS(E_F) (states/eV/atom) = 0.4640
- mass density (Mg/m³) = 7.6
- spin magnetization (μB per formula unit) = 0.00
- final energy (eV per atom) = -3.04

Lattice parameters (Å, degrees): 7.436 6.474 6.473 57.20 54.94 54.94
Fractional positions:
Sn 0.095 0.411 0.985
Sn 0.905 0.015 0.589
Sn 0.510 0.410 0.985
Sn 0.490 0.015 0.590
In 0.000 0.475 0.525
In 0.500 0.721 0.279
Hg 0.000 0.953 0.047


11.
TcMo2W3 after structural relaxation. Source: Alexandria via LeMat-Bulk, functional PBE-GGA.

Computed properties:
- space group = C2/c, No. 15
- DOS(E_F) (states/eV/atom) = 0.7791
- mass density (Mg/m³) = 14.7
- spin magnetization (μB per formula unit) = 0.00
- final energy (eV per atom) = -11.79

Lattice parameters (Å, degrees): 4.498 6.878 6.878 86.98 109.01 109.01
Fractional positions:
Mo 0.750 0.748 0.252
Mo 0.750 0.082 0.918
Mo 0.250 0.252 0.748
Mo 0.250 0.918 0.082
Tc 0.750 0.410 0.590
Tc 0.250 0.590 0.410
W 0.998 0.831 0.664
W 0.000 0.500 0.000
W 0.502 0.336 0.169
W 0.498 0.664 0.831
W 0.002 0.169 0.336
W 0.500 0.000 0.500


12.
Ba2AlC after structural relaxation. Source: Alexandria via LeMat-Bulk, functional PBE-GGA.

Computed properties:
- space group = I-42d, No. 122
- DOS(E_F) (states/eV/atom) = 1.6823
- mass density (Mg/m³) = 4.1
- spin magnetization (μB per formula unit) = 0.00
- final energy (eV per atom) = -3.35

Lattice parameters (Å, degrees): 8.644 8.644 6.999 51.87 51.87 90.00
Fractional positions:
C 0.500 0.500 0.000
C 0.250 0.750 0.500
Ba 0.375 0.469 0.750
Ba 0.219 0.625 0.250
Ba 0.875 0.781 0.750
Ba 0.531 0.125 0.250
Al 0.750 0.250 0.500
Al 0.000 0.000 0.000


13.
Na2IrPd after structural relaxation. Source: Alexandria via LeMat-Bulk, functional PBE-GGA.

Computed properties:
- space group = Fm-3m, No. 225
- DOS(E_F) (states/eV/atom) = 0.8529
- mass density (Mg/m³) = 8.1
- spin magnetization (μB per formula unit) = 0.00
- final energy (eV per atom) = -3.50

Lattice parameters (Å, degrees): 4.647 4.647 4.647 60.00 60.00 60.00
Fractional positions:
Na 0.750 0.750 0.750
Na 0.250 0.250 0.250
Ir 0.500 0.500 0.500
Pd 0.000 0.000 0.000


14.
Pr2YC2I2 after structural relaxation. Source: Alexandria via LeMat-Bulk, functional PBE-GGA.

Computed properties:
- space group = I4/mmm, No. 139
- E_form (uncorrected) (eV per atom) = -0.49
- DOS(E_F) (states/eV/atom) = 0.2889
- mass density (Mg/m³) = 5.3
- spin magnetization (μB per formula unit) = 0.00

Lattice parameters (Å, degrees): 4.539 4.539 10.333 102.69 102.69 90.00
Fractional positions:
Y 0.000 0.000 0.000
Pr 0.419 0.419 0.837
Pr 0.581 0.581 0.163
I 0.834 0.834 0.668
I 0.166 0.166 0.332
C 0.000 0.500 0.000
C 0.500 0.000 0.000


15.
Pm2DyZr after structural relaxation. Source: Alexandria via LeMat-Bulk, functional PBE-GGA.

Computed properties:
- space group = P4/mmm, No. 123
- DOS(E_F) (states/eV/atom) = 1.1467
- mass density (Mg/m³) = 7.5
- spin magnetization (μB per formula unit) = 0.00
- final energy (eV per atom) = -5.54

Lattice parameters (Å, degrees): 4.901 4.948 4.948 90.00 90.00 90.00
Fractional positions:
Pm 0.000 0.500 0.000
Pm 0.000 0.000 0.500
Zr 0.500 0.000 0.000
Dy 0.500 0.500 0.500


16.
Ca4ZrZn after structural relaxation. Source: Alexandria via LeMat-Bulk, functional PBE-GGA.

Computed properties:
- space group = F-43m, No. 216
- DOS(E_F) (states/eV/atom) = 1.9685
- mass density (Mg/m³) = 2.6
- spin magnetization (μB per formula unit) = 3.84
- final energy (eV per atom) = -2.30

Lattice parameters (Å, degrees): 6.587 6.587 6.587 60.00 60.00 60.00
Fractional positions:
Zr 0.000 0.000 0.000
Ca 0.876 0.375 0.375
Ca 0.375 0.876 0.375
Ca 0.375 0.375 0.876
Ca 0.375 0.375 0.375
Zn 0.750 0.750 0.750


17.
TcP2W after structural relaxation. Source: Alexandria via LeMat-Bulk, functional PBE-GGA.

Computed properties:
- space group = I-42d, No. 122
- DOS(E_F) (states/eV/atom) = 0.6077
- mass density (Mg/m³) = 8.4
- spin magnetization (μB per formula unit) = 0.00
- final energy (eV per atom) = -8.34

Lattice parameters (Å, degrees): 4.414 4.414 7.667 73.27 73.27 90.00
Fractional positions:
W 0.000 0.000 0.000
W 0.750 0.250 0.500
P 0.375 0.389 0.750
P 0.139 0.625 0.250
P 0.611 0.125 0.250
P 0.875 0.861 0.750
Tc 0.250 0.750 0.500
Tc 0.500 0.500 0.000


18.
ErSc2ReO8 after structural relaxation. Source: Alexandria via LeMat-Bulk, functional PBE-GGA.

Computed properties:
- space group = Cmmm, No. 65
- E_form (uncorrected) (eV per atom) = -2.78
- mass density (Mg/m³) = 6.2
- spin magnetization (μB per formula unit) = 0.00

Lattice parameters (Å, degrees): 4.864 4.864 6.469 90.00 90.00 90.24
Fractional positions:
O 0.315 0.314 0.500
O 0.810 0.191 0.788
O 0.810 0.191 0.212
O 0.190 0.809 0.788
O 0.190 0.809 0.212
O 0.278 0.278 0.000
O 0.722 0.722 0.000
O 0.685 0.686 0.500
Er 0.000 0.000 0.500
Sc 0.500 0.500 0.742
Sc 0.500 0.500 0.258
Re 0.000 0.000 0.000


19.
NaPm4Tl5 after structural relaxation. Source: Alexandria via LeMat-Bulk, functional PBE-GGA.

Computed properties:
- space group = P4/mmm, No. 123
- DOS(E_F) (states/eV/atom) = 0.6984
- mass density (Mg/m³) = 9.3
- spin magnetization (μB per formula unit) = 0.00
- final energy (eV per atom) = -3.54

Lattice parameters (Å, degrees): 3.840 3.840 19.647 90.00 90.00 90.00
Fractional positions:
Pm 0.000 0.000 0.804
Pm 0.000 0.000 0.399
Pm 0.000 0.000 0.196
Pm 0.000 0.000 0.601
Tl 0.500 0.500 0.701
Tl 0.500 0.500 0.099
Tl 0.500 0.500 0.299
Tl 0.500 0.500 0.901
Tl 0.500 0.500 0.500
Na 0.000 0.000 0.000


20.
Ce2Tl2CuSe6 after structural relaxation. Source: Alexandria via LeMat-Bulk, functional PBE-GGA.

Computed properties:
- space group = C2/m, No. 12
- E_form (uncorrected) (eV per atom) = -0.94
- DOS(E_F) (states/eV/atom) = 0.7053
- mass density (Mg/m³) = 6.0
- spin magnetization (μB per formula unit) = 0.00

Lattice parameters (Å, degrees): 7.199 7.199 8.063 98.50 98.50 121.36
Fractional positions:
Ce 0.666 0.334 0.500
Ce 0.334 0.666 0.500
Se 0.776 0.776 0.677
Se 0.586 0.927 0.288
Se 0.414 0.073 0.712
Se 0.927 0.586 0.288
Se 0.073 0.414 0.712
Se 0.224 0.224 0.323
Tl 0.167 0.833 0.000
Tl 0.833 0.167 0.000
Cu 0.000 0.000 0.500


21.
AcCu4SbAs2 after structural relaxation. Source: Alexandria via LeMat-Bulk, functional PBE-GGA.

Computed properties:
- space group = P4/mmm, No. 123
- E_form (uncorrected) (eV per atom) = -0.35
- DOS(E_F) (states/eV/atom) = 0.2792
- mass density (Mg/m³) = 8.0
- spin magnetization (μB per formula unit) = 0.00

Lattice parameters (Å, degrees): 4.154 4.154 9.036 90.00 90.00 90.00
Fractional positions:
As 0.500 0.500 0.328
As 0.500 0.500 0.672
Cu 0.000 0.500 0.184
Cu 0.000 0.500 0.816
Cu 0.500 0.000 0.184
Cu 0.500 0.000 0.816
Sb 0.000 0.000 0.000
Ac 0.000 0.000 0.500


22.
Tl2SbMo after structural relaxation. Source: Alexandria via LeMat-Bulk, functional PBE-GGA.

Computed properties:
- space group = Pmmm, No. 47
- E_form (uncorrected) (eV per atom) = 0.73
- DOS(E_F) (states/eV/atom) = 0.9309
- mass density (Mg/m³) = 10.8
- spin magnetization (μB per formula unit) = 2.22

Lattice parameters (Å, degrees): 3.422 5.213 5.392 90.00 90.00 90.00
Fractional positions:
Tl 0.500 0.500 0.000
Tl 0.000 0.000 0.000
Mo 0.500 0.000 0.500
Sb 0.000 0.500 0.500


23.
CsCdCl2 after structural relaxation. Source: Alexandria via LeMat-Bulk, functional PBE-GGA.

Computed properties:
- space group = I-42d, No. 122
- E_form (uncorrected) (eV per atom) = -1.15
- DOS(E_F) (states/eV/atom) = 0.0264
- mass density (Mg/m³) = 2.9
- spin magnetization (μB per formula unit) = 0.00

Lattice parameters (Å, degrees): 6.826 6.826 9.078 67.92 67.92 90.00
Fractional positions:
Cl 0.375 0.462 0.750
Cl 0.212 0.625 0.250
Cl 0.538 0.125 0.250
Cl 0.875 0.788 0.750
Cd 0.250 0.750 0.500
Cd 0.500 0.500 0.000
Cs 0.750 0.250 0.500
Cs 0.000 0.000 0.000


24.
CaLa3Pm2Y6 after structural relaxation. Source: Alexandria via LeMat-Bulk, functional PBE-GGA.

Computed properties:
- space group = C2/m, No. 12
- DOS(E_F) (states/eV/atom) = 1.4454
- mass density (Mg/m³) = 5.2
- spin magnetization (μB per formula unit) = 0.00
- final energy (eV per atom) = -5.38

Lattice parameters (Å, degrees): 6.336 6.336 12.019 95.04 95.04 120.01
Fractional positions:
Y 0.254 0.254 0.750
Y 0.421 0.083 0.250
Y 0.083 0.421 0.250
Y 0.917 0.579 0.750
Y 0.579 0.917 0.750
Y 0.746 0.746 0.250
La 0.166 0.834 0.500
La 0.834 0.166 0.500
La 0.500 0.500 0.500
Pm 0.666 0.334 0.000
Pm 0.334 0.666 0.000
Ca 0.000 0.000 0.000